This record from the Alexandria database describes a relaxed Ho3MgCd5 crystal. The functional is PBE.

formation enthalpy at 0 K: -0.251 eV per atom
SG: No. 193
spin magnetization: 0.0 μB/cell
E: -2.46 eV/atom

a = 6.2586 Å, b = 8.9963 Å, c = 8.9959 Å
α = 120.00°, β = 90.00°, γ = 90.00°
Fractional positions:
Cd1 0.2500 0.0000 0.6828
Cd2 0.5000 0.3333 0.6667
Cd3 0.7500 0.6828 0.6828
Ho1 0.2500 0.3467 0.0000
Cd4 0.7500 0.3172 0.0000
Cd5 0.0000 0.6667 0.3333
Mg1 0.5000 0.0000 0.0000
Cd6 0.2500 0.6828 0.0000
Ho2 0.7500 0.3467 0.3467
Mg2 0.0000 0.0000 0.0000
Ho3 0.7500 0.0000 0.6533
Ho4 0.7500 0.6533 0.0000
Cd7 0.5000 0.6667 0.3333
Cd8 0.0000 0.3333 0.6667
Ho5 0.2500 0.6533 0.6533
Cd9 0.7500 0.0000 0.3172
Cd10 0.2500 0.3172 0.3172
Ho6 0.2500 0.0000 0.3467